1.
{"formula": "Al3TlB4O12", "functional": "PBE", "state": "optimized geometry", "cell": [[5.937, -0.030, -0.041], [-1.459, 5.755, -0.041], [-1.459, -1.866, 5.444]], "species": ["Al", "Al", "Al", "Tl", "B", "B", "B", "B", "O", "O", "O", "O", "O", "O", "O", "O", "O", "O", "O", "O"], "fractional_positions": [[0.557, 0.443, 0.000], [0.443, 0.000, 0.557], [0.000, 0.557, 0.443], [0.000, 0.000, 0.000], [0.946, 0.054, 0.500], [0.054, 0.500, 0.946], [0.500, 0.946, 0.054], [0.500, 0.500, 0.500], [0.500, 0.352, 0.648], [0.907, 0.500, 0.093], [0.093, 0.907, 0.500], [0.500, 0.093, 0.907], [0.373, 0.968, 0.220], [0.220, 0.373, 0.968], [0.968, 0.220, 0.373], [0.627, 0.780, 0.032], [0.032, 0.627, 0.780], [0.780, 0.032, 0.627], [0.648, 0.500, 0.352], [0.352, 0.648, 0.500]], "e_form_raw_ev_per_atom": -2.431}

2.
{"formula": "ZrCdMo2", "functional": "PBE", "state": "optimized geometry", "cell": [[-4.884, -2.321, 1.500], [1.457, -0.203, -5.415], [0.678, -2.670, -0.196]], "species": ["Cd", "Mo", "Mo", "Zr"], "fractional_positions": [[0.000, 0.500, 0.500], [0.000, 0.000, 0.000], [0.500, 0.500, 0.000], [0.500, 0.000, 0.500]], "n_ef_per_ev_cell": 3.823, "dft_energy_ev_per_atom": -7.51}